# 1
## LiSbCl2 (meta-GGA SCAN)

Data for a crystal of LiSbCl2 relaxed with PBEsol.

Cell: 3.484 3.484 24.233 Å, 90.00 90.00 120.00°
Fractional coordinates of all 12 atoms:
Li1 0.000 0.000 0.000
Li2 0.333 0.667 0.667
Li3 0.667 0.333 0.333
Sb1 0.000 0.000 0.500
Sb2 0.333 0.667 0.167
Sb3 0.667 0.333 0.833
Cl1 0.000 0.000 0.392
Cl2 0.000 0.000 0.608
Cl3 0.333 0.667 0.058
Cl4 0.333 0.667 0.275
Cl5 0.667 0.333 0.725
Cl6 0.667 0.333 0.942

Properties
total moment: 0.0 μB/cell
formation energy from raw total energies: -1.1948 eV/atom
energy above the most stable polymorph in this dataset: 0.000 eV per formula unit
SG: R-3m (166)
density of states at the Fermi level: 0.697 states/eV/f.u.



# 2
## CrHgTe2N (meta-GGA SCAN)

Data for a crystal of CrHgTe2N relaxed with PBEsol.

Cell: 5.355 5.355 3.512 Å, 90.00 90.00 90.00°
Fractional coordinates of all 5 atoms:
Cr1 0.000 0.000 0.000
Hg1 0.500 0.500 0.500
Te1 0.000 0.500 0.000
Te2 0.500 0.000 0.000
N1 0.000 0.000 0.500

Properties
total moment: 1.3 μB/cell
formation energy from raw total energies: 0.1134 eV/atom
SG: P4/mmm (123)
density of states at the Fermi level: 2.491 states/eV/f.u.



# 3
## C3Se5 (meta-GGA SCAN)

Data for a crystal of C3Se5 relaxed with PBEsol.

Cell: 6.501 7.054 7.047 Å, 90.00 90.00 90.00°
Fractional coordinates of all 16 atoms:
C1 0.000 0.000 0.000
C2 0.000 0.166 0.500
C3 0.000 0.834 0.500
C4 0.500 0.334 0.500
C5 0.500 0.500 0.000
C6 0.500 0.666 0.500
Se1 0.000 0.500 0.000
Se2 0.230 0.000 0.500
Se3 0.250 0.250 0.000
Se4 0.250 0.750 0.000
Se5 0.270 0.500 0.500
Se6 0.500 0.000 0.000
Se7 0.730 0.500 0.500
Se8 0.750 0.250 0.000
Se9 0.750 0.750 0.000
Se10 0.770 0.000 0.500

Properties
total moment: 1.7 μB/cell
formation energy from raw total energies: 1.7077 eV/atom
SG: Cmmm (65)
density of states at the Fermi level: 3.674 states/eV/f.u.



# 4
## MnZn2 (meta-GGA SCAN)

Data for a crystal of MnZn2 relaxed with PBEsol.

Cell: 9.744 2.619 6.238 Å, 90.00 105.23 90.00°
Fractional coordinates of all 12 atoms:
Mn1 0.000 0.000 0.000
Mn2 0.147 0.500 0.305
Mn3 0.500 0.500 0.000
Mn4 0.647 0.000 0.305
Zn1 0.050 0.000 0.596
Zn2 0.217 0.500 0.934
Zn3 0.326 0.000 0.651
Zn4 0.375 0.000 0.261
Zn5 0.550 0.500 0.596
Zn6 0.717 0.000 0.934
Zn7 0.826 0.500 0.651
Zn8 0.875 0.500 0.261

Properties
total moment: 12.0 μB/cell
SG: Cm (8)
density of states at the Fermi level: 1.739 states/eV/f.u.
formation energy: -17 meV/atom



# 5
## ReRh2W (meta-GGA SCAN)

Data for a crystal of ReRh2W relaxed with PBEsol.

Cell: 5.385 7.818 2.693 Å, 90.00 90.00 90.00°
Fractional coordinates of all 8 atoms:
Re1 0.000 0.000 0.000
Re2 0.500 0.500 0.000
Rh1 0.250 0.250 0.500
Rh2 0.250 0.750 0.500
Rh3 0.750 0.250 0.500
Rh4 0.750 0.750 0.500
W1 0.000 0.500 0.000
W2 0.500 0.000 0.000

Properties
total moment: 0.0 μB/cell
energy above the most stable polymorph in this dataset: 0.317 eV per formula unit
SG: Cmmm (65)
density of states at the Fermi level: 2.608 states/eV/f.u.
formation energy: -140 meV/atom



# 6
## GaReAuN2 (meta-GGA SCAN)

Data for a crystal of GaReAuN2 relaxed with PBEsol.

Cell: 3.781 3.781 5.480 Å, 90.00 90.00 90.00°
Fractional coordinates of all 5 atoms:
Ga1 0.000 0.000 0.000
Re1 0.000 0.000 0.500
Au1 0.500 0.500 0.000
N1 0.000 0.500 0.500
N2 0.500 0.000 0.500

Properties
total moment: 0.0 μB/cell
formation energy from raw total energies: 0.5769 eV/atom
SG: P4/mmm (123)
density of states at the Fermi level: 2.986 states/eV/f.u.



# 7
## BaTe2IrN (meta-GGA SCAN)

Data for a crystal of BaTe2IrN relaxed with PBEsol.

Cell: 6.103 6.103 4.116 Å, 90.00 90.00 90.00°
Fractional coordinates of all 5 atoms:
Ba1 0.000 0.000 0.000
Te1 0.000 0.500 0.000
Te2 0.500 0.000 0.000
Ir1 0.500 0.500 0.500
N1 0.000 0.000 0.500

Properties
total moment: 2.2 μB/cell
formation energy from raw total energies: 2.0604 eV/atom
energy above the most stable polymorph in this dataset: 12.470 eV per formula unit
SG: P4/mmm (123)
density of states at the Fermi level: 5.410 states/eV/f.u.



# 8
## Zn2CoRe (meta-GGA SCAN)

Data for a crystal of Zn2CoRe relaxed with PBEsol.

Cell: 2.690 4.359 4.378 Å, 90.00 90.00 90.00°
Fractional coordinates of all 4 atoms:
Zn1 0.000 0.000 0.000
Zn2 0.500 0.500 0.000
Co1 0.000 0.500 0.500
Re1 0.500 0.000 0.500

Properties
total moment: 2.0 μB/cell
energy above the most stable polymorph in this dataset: 0.540 eV per formula unit
SG: Pmmm (47)
density of states at the Fermi level: 1.466 states/eV/f.u.
formation energy: 196 meV/atom



# 9
## KCo2Tc (meta-GGA SCAN)

Data for a crystal of KCo2Tc relaxed with PBEsol.

Cell: 2.542 4.736 4.979 Å, 90.00 90.00 90.00°
Fractional coordinates of all 4 atoms:
K1 0.000 0.000 0.000
Co1 0.000 0.500 0.500
Co2 0.500 0.500 0.000
Tc1 0.500 0.000 0.500

Properties
total moment: 4.6 μB/cell
SG: Pmmm (47)
density of states at the Fermi level: 3.518 states/eV/f.u.
formation energy: 1538 meV/atom



# 10
## ScSi3Pd (meta-GGA SCAN)

Data for a crystal of ScSi3Pd relaxed with PBEsol.

Cell: 4.644 4.644 4.644 Å, 90.00 90.00 90.00°
Fractional coordinates of all 5 atoms:
Sc1 0.000 0.000 0.000
Si1 0.000 0.500 0.500
Si2 0.500 0.000 0.500
Si3 0.500 0.500 0.000
Pd1 0.500 0.500 0.500

Properties
total moment: 0.0 μB/cell
formation energy from raw total energies: 0.4693 eV/atom
SG: Pm-3m (221)
density of states at the Fermi level: 3.557 states/eV/f.u.



# 11
## SrMo2Pt (meta-GGA SCAN)

Data for a crystal of SrMo2Pt relaxed with PBEsol.

Cell: 3.207 5.120 9.298 Å, 90.00 90.00 90.00°
Fractional coordinates of all 8 atoms:
Sr1 0.000 0.000 0.000
Sr2 0.500 0.500 0.500
Mo1 0.000 0.000 0.526
Mo2 0.000 0.500 0.215
Mo3 0.500 0.000 0.715
Mo4 0.500 0.500 0.026
Pt1 0.000 0.500 0.780
Pt2 0.500 0.000 0.280

Properties
total moment: 0.0 μB/cell
energy above the most stable polymorph in this dataset: 0.517 eV per formula unit
SG: Imm2 (44)
density of states at the Fermi level: 2.600 states/eV/f.u.
formation energy: 504 meV/atom



# 12
## BaLa2O4 (meta-GGA SCAN)

Data for a crystal of BaLa2O4 relaxed with PBEsol.

Cell: 6.350 6.350 23.148 Å, 90.78 90.78 61.11°
Fractional coordinates of all 42 atoms:
Ba1 0.117 0.883 0.750
Ba2 0.230 0.443 0.351
Ba3 0.443 0.230 0.851
Ba4 0.557 0.770 0.149
Ba5 0.770 0.557 0.649
Ba6 0.883 0.117 0.250
La1 0.104 0.884 0.574
La2 0.116 0.896 0.926
La3 0.214 0.444 0.194
La4 0.230 0.442 0.050
La5 0.442 0.230 0.550
La6 0.444 0.214 0.694
La7 0.556 0.786 0.306
La8 0.558 0.770 0.450
La9 0.770 0.558 0.950
La10 0.786 0.556 0.806
La11 0.884 0.104 0.074
La12 0.896 0.116 0.426
O1 0.039 0.624 0.874
O2 0.077 0.210 0.997
O3 0.123 0.284 0.754
O4 0.154 0.760 0.123
O5 0.190 0.528 0.621
O6 0.210 0.077 0.497
O7 0.240 0.846 0.377
O8 0.284 0.123 0.254
O9 0.376 0.961 0.626
O10 0.472 0.810 0.879
O11 0.480 0.520 0.250
O12 0.500 0.500 0.000
O13 0.500 0.500 0.500
O14 0.520 0.480 0.750
O15 0.528 0.190 0.121
O16 0.624 0.039 0.374
O17 0.716 0.877 0.746
O18 0.760 0.154 0.623
O19 0.790 0.923 0.503
O20 0.810 0.472 0.379
O21 0.846 0.240 0.877
O22 0.877 0.716 0.246
O23 0.923 0.790 0.003
O24 0.961 0.376 0.126

Properties
total moment: 0.3 μB/cell
formation energy from raw total energies: -3.4027 eV/atom
energy above the most stable polymorph in this dataset: 0.492 eV per formula unit
SG: C2/c (15)
density of states at the Fermi level: 0.000 states/eV/f.u.



The evaluated E_tot for the records listed, in turn: -15.096, -33.955, -14.629, -15.113, -52.222, -34.460, -36.828, -28.662, -17.961, -14.942, -40.056, -24.929 eV per atom.